Record 1
First-principles (PBE-GGA) data for a relaxed Cs2BaIn2 crystal, as listed in the Alexandria database.

Formation energy from the elements, eV per atom: 0.003
Total magnetic moment, μB/cell: 1.8
Density, Mg/m³: 3.84
Space group: P4/mbm
Energy above the lowest structure with this stoichiometry, eV per atom: 0.000
V, Å³/f.u.: 273.8

a = 9.0785 Å, b = 9.0785 Å, c = 6.6429 Å
α = 90.00°, β = 90.00°, γ = 90.00°
Sites, in units of the cell vectors:
Cs 0.8217 0.3217 0.5000
Cs 0.1783 0.6783 0.5000
Cs 0.6783 0.8217 0.5000
Cs 0.3217 0.1783 0.5000
In 0.6105 0.1105 0.0000
In 0.3895 0.8895 0.0000
In 0.8895 0.6105 0.0000
In 0.1105 0.3895 0.0000
Ba 0.5000 0.5000 0.0000
Ba 0.0000 0.0000 0.0000


Record 2
First-principles (PBE-GGA) data for a relaxed CsBa2In2 crystal, as listed in the Alexandria database.

Formation energy from the elements, eV per atom: -0.207
Total magnetic moment, μB/cell: 0.0
Density, Mg/m³: 4.78
Space group: P4/mbm
Energy above the lowest structure with this stoichiometry, eV per atom: 0.000
V, Å³/f.u.: 221.3

a = 10.4076 Å, b = 10.4076 Å, c = 4.0862 Å
α = 90.00°, β = 90.00°, γ = 90.00°
Sites, in units of the cell vectors:
In 0.1480 0.6480 0.5000
In 0.6480 0.8520 0.5000
In 0.8520 0.3520 0.5000
In 0.3520 0.1480 0.5000
Ba 0.1451 0.3549 0.0000
Ba 0.8549 0.6451 0.0000
Ba 0.6451 0.1451 0.0000
Ba 0.3549 0.8549 0.0000
Cs 0.5000 0.5000 0.0000
Cs 0.0000 0.0000 0.0000


Record 3
First-principles (PBE-GGA) data for a relaxed Cs2Ba2In crystal, as listed in the Alexandria database.

Formation energy from the elements, eV per atom: 0.076
Total magnetic moment, μB/cell: 0.0
Density, Mg/m³: 3.08
Space group: P4/mbm
V, Å³/f.u.: 353.8

a = 9.3749 Å, b = 9.3749 Å, c = 8.0511 Å
α = 90.00°, β = 90.00°, γ = 90.00°
Sites, in units of the cell vectors:
Ba 0.6696 0.1696 0.0000
Ba 0.3304 0.8304 0.0000
Ba 0.1696 0.3304 0.0000
Ba 0.8304 0.6696 0.0000
Cs 0.8167 0.3167 0.5000
Cs 0.1833 0.6833 0.5000
Cs 0.3167 0.1833 0.5000
Cs 0.6833 0.8167 0.5000
In 0.0000 0.0000 0.0000
In 0.5000 0.5000 0.0000


Record 4
First-principles (PBE-GGA) data for a relaxed Cs2BaIn crystal, as listed in the Alexandria database.

Formation energy from the elements, eV per atom: 0.228
Total magnetic moment, μB/cell: 0.0
Density, Mg/m³: 3.99
Space group: Fm-3m
V, Å³/f.u.: 215.7

a = 6.7314 Å, b = 6.7314 Å, c = 6.7314 Å
α = 60.00°, β = 60.00°, γ = 60.00°
Sites, in units of the cell vectors:
Cs 0.2500 0.2500 0.2500
Cs 0.7500 0.7500 0.7500
In 0.0000 0.0000 0.0000
Ba 0.5000 0.5000 0.5000


Record 5
First-principles (PBE-GGA) data for a relaxed CsBa2In2 crystal, as listed in the Alexandria database.

Formation energy from the elements, eV per atom: -0.153
Total magnetic moment, μB/cell: 0.0
Density, Mg/m³: 4.23
Space group: I4/mmm
Energy above the lowest structure with this stoichiometry, eV per atom: 0.053
V, Å³/f.u.: 250.0

a = 6.5848 Å, b = 6.5848 Å, c = 7.4105 Å
α = 63.62°, β = 63.62°, γ = 90.00°
Sites, in units of the cell vectors:
Ba 0.7500 0.2500 0.5000
Ba 0.2500 0.7500 0.5000
In 0.6209 0.6209 0.7582
In 0.3791 0.3791 0.2418
Cs 0.0000 0.0000 0.0000


Record 6
First-principles (PBE-GGA) data for a relaxed Cs3BaIn crystal, as listed in the Alexandria database.

Formation energy from the elements, eV per atom: 0.244
Total magnetic moment, μB/cell: 0.0
Density, Mg/m³: 2.50
Space group: Pm-3m
V, Å³/f.u.: 433.0

a = 7.5652 Å, b = 7.5652 Å, c = 7.5652 Å
α = 90.00°, β = 90.00°, γ = 90.00°
Sites, in units of the cell vectors:
Ba 0.5000 0.5000 0.5000
Cs 0.0000 0.0000 0.5000
Cs 0.0000 0.5000 0.0000
Cs 0.5000 0.0000 0.0000
In 0.0000 0.0000 0.0000


Record 7
First-principles (PBE-GGA) data for a relaxed CsBa2InIr crystal, as listed in the Alexandria database.

Formation energy from the elements, eV per atom: 0.937
Total magnetic moment, μB/cell: 0.0
Density, Mg/m³: 5.45
Space group: P4/mmm
Energy above the lowest structure with this stoichiometry, eV per atom: 1.022
V, Å³/f.u.: 217.6

a = 6.5721 Å, b = 5.0374 Å, c = 6.5721 Å
α = 90.00°, β = 90.00°, γ = 90.00°
Sites, in units of the cell vectors:
In 0.5000 0.5000 0.5000
Ir 0.0000 0.5000 0.0000
Cs 0.0000 0.0000 0.0000
Ba 0.5000 0.0000 0.0000
Ba 0.0000 0.0000 0.5000


Record 8
First-principles (PBE-GGA) data for a relaxed CsBa2InIr crystal, as listed in the Alexandria database.

Formation energy from the elements, eV per atom: -0.085
Total magnetic moment, μB/cell: 0.0
Density, Mg/m³: 5.68
Space group: P4/mmm
Energy above the lowest structure with this stoichiometry, eV per atom: 0.000
V, Å³/f.u.: 208.9

a = 6.2148 Å, b = 6.2148 Å, c = 5.4095 Å
α = 90.00°, β = 90.00°, γ = 90.00°
Sites, in units of the cell vectors:
Cs 0.5000 0.5000 0.5000
Ir 0.0000 0.0000 0.0000
Ba 0.0000 0.5000 0.0000
Ba 0.5000 0.0000 0.0000
In 0.0000 0.0000 0.5000


Record 9
First-principles (PBE-GGA) data for a relaxed CsK2BaIn crystal, as listed in the Alexandria database.

Formation energy from the elements, eV per atom: 0.033
Total magnetic moment, μB/cell: 0.0
Density, Mg/m³: 2.19
Space group: P4/mmm
V, Å³/f.u.: 350.6

a = 7.1720 Å, b = 7.1720 Å, c = 6.8164 Å
α = 90.00°, β = 90.00°, γ = 90.00°
Sites, in units of the cell vectors:
K 0.5000 0.0000 0.0000
K 0.0000 0.5000 0.0000
Cs 0.5000 0.5000 0.5000
Ba 0.0000 0.0000 0.5000
In 0.0000 0.0000 0.0000


Record 10
First-principles (PBE-GGA) data for a relaxed CsBaLiIn2 crystal, as listed in the Alexandria database.

Formation energy from the elements, eV per atom: 0.773
Total magnetic moment, μB/cell: 0.0
Density, Mg/m³: 1.95
Space group: P4/mmm
Energy above the lowest structure with this stoichiometry, eV per atom: 0.765
V, Å³/f.u.: 431.6

a = 7.6221 Å, b = 7.4290 Å, c = 7.6221 Å
α = 90.00°, β = 90.00°, γ = 90.00°
Sites, in units of the cell vectors:
In 0.0000 0.0000 0.5000
In 0.5000 0.0000 0.0000
Ba 0.0000 0.0000 0.0000
Li 0.5000 0.5000 0.5000
Cs 0.0000 0.5000 0.0000


Record 11
First-principles (PBE-GGA) data for a relaxed CsBa2LiIn crystal, as listed in the Alexandria database.

Formation energy from the elements, eV per atom: 0.033
Total magnetic moment, μB/cell: 0.1
Density, Mg/m³: 3.16
Space group: P4/mmm
V, Å³/f.u.: 278.4

a = 6.9338 Å, b = 6.9338 Å, c = 5.7911 Å
α = 90.00°, β = 90.00°, γ = 90.00°
Sites, in units of the cell vectors:
Cs 0.5000 0.5000 0.5000
In 0.0000 0.0000 0.0000
Ba 0.0000 0.5000 0.0000
Ba 0.5000 0.0000 0.0000
Li 0.0000 0.0000 0.5000


Record 12
First-principles (PBE-GGA) data for a relaxed CsBaLiIn2 crystal, as listed in the Alexandria database.

Formation energy from the elements, eV per atom: 0.008
Total magnetic moment, μB/cell: 0.0
Density, Mg/m³: 4.66
Space group: P4/mmm
Energy above the lowest structure with this stoichiometry, eV per atom: 0.000
V, Å³/f.u.: 180.4

a = 5.4659 Å, b = 6.0392 Å, c = 5.4659 Å
α = 90.00°, β = 90.00°, γ = 90.00°
Sites, in units of the cell vectors:
In 0.0000 0.0000 0.5000
In 0.5000 0.0000 0.0000
Li 0.0000 0.0000 0.0000
Ba 0.0000 0.5000 0.0000
Cs 0.5000 0.5000 0.5000